(one)
First-principles (PBE) data for crystalline SrTb2Tc at its relaxed geometry, as listed in Alexandria via LeMat-Bulk. Values from VASP.

Cell and atoms, written as Quantum ESPRESSO input:
```
&SYSTEM
  ibrav = 0, nat = 4, ntyp = 3
/
ATOMIC_SPECIES
Sr 87.62 Sr.upf
Tb 158.93 Tb.upf
Tc 98.00 Tc.upf
CELL_PARAMETERS angstrom
3.632 0.000 0.000
1.816 3.145 0.000
1.816 1.048 11.062
ATOMIC_POSITIONS angstrom
Sr 0.000 0.000 0.000
Tb 1.816 1.048 7.445
Tb 5.448 3.145 3.616
Tc 3.632 2.097 5.531
```

Values from the calculation:
Magnetization (μB per cell): 0.00
Fermi-level density of states (states/eV/f.u.): 3.39

=====

(two)
First-principles (PBE) data for crystalline SrTb2Tc at its relaxed geometry, as listed in Alexandria via LeMat-Bulk. Values from VASP.

Cell and atoms, written as Quantum ESPRESSO input:
```
&SYSTEM
  ibrav = 0, nat = 4, ntyp = 3
/
ATOMIC_SPECIES
Sr 87.62 Sr.upf
Tb 158.93 Tb.upf
Tc 98.00 Tc.upf
CELL_PARAMETERS angstrom
3.534 0.000 0.000
0.000 3.534 0.000
0.000 0.000 9.726
ATOMIC_POSITIONS angstrom
Sr 1.767 1.767 4.863
Tb 0.000 0.000 8.114
Tb 0.000 0.000 1.612
Tc 1.767 1.767 0.000
```

Values from the calculation:
Magnetization (μB per cell): 0.00
Fermi-level density of states (states/eV/f.u.): 5.69

=====

Name the most stable of them. (two).

=====

(one)
First-principles (PBE) data for crystalline SrTbTe2 at its relaxed geometry, as listed in Alexandria via LeMat-Bulk. Values from VASP.

Cell and atoms, written as Quantum ESPRESSO input:
```
&SYSTEM
  ibrav = 0, nat = 4, ntyp = 3
/
ATOMIC_SPECIES
Sr 87.62 Sr.upf
Tb 158.93 Tb.upf
Te 127.60 Te.upf
CELL_PARAMETERS angstrom
-0.274 4.407 -0.037
-0.959 2.121 -3.752
-8.131 1.711 0.448
ATOMIC_POSITIONS angstrom
Sr -4.759 4.114 -1.654
Tb -8.890 6.066 -2.092
Te -6.358 1.818 0.055
Te -2.169 2.070 -0.873
```

Values from the calculation:
Magnetization (μB per cell): 0.00
Fermi-level density of states (states/eV/f.u.): 2.65

=====

(two)
First-principles (PBE) data for crystalline SrTbTe2 at its relaxed geometry, as listed in Alexandria via LeMat-Bulk. Values from VASP.

Cell and atoms, written as Quantum ESPRESSO input:
```
&SYSTEM
  ibrav = 0, nat = 4, ntyp = 3
/
ATOMIC_SPECIES
Sr 87.62 Sr.upf
Te 127.60 Te.upf
Tb 158.93 Tb.upf
CELL_PARAMETERS angstrom
4.770 0.000 0.000
2.385 4.131 0.000
2.385 1.377 9.433
ATOMIC_POSITIONS angstrom
Sr 4.770 2.754 4.716
Te 2.385 1.377 6.571
Te 7.155 4.131 2.862
Tb 0.000 0.000 0.000
```

Values from the calculation:
Magnetization (μB per cell): 0.36
Fermi-level density of states (states/eV/f.u.): 1.56

=====

(three)
First-principles (PBE) data for crystalline SrTbTe2 at its relaxed geometry, as listed in Alexandria via LeMat-Bulk. Values from VASP.

Cell and atoms, written as Quantum ESPRESSO input:
```
&SYSTEM
  ibrav = 0, nat = 4, ntyp = 3
/
ATOMIC_SPECIES
Sr 87.62 Sr.upf
Tb 158.93 Tb.upf
Te 127.60 Te.upf
CELL_PARAMETERS angstrom
-2.601 -2.375 -2.789
-2.208 -3.608 1.513
-7.511 2.372 1.365
ATOMIC_POSITIONS angstrom
Sr -6.160 -1.805 0.045
Tb 0.000 0.000 0.000
Te -2.975 -0.980 -0.009
Te -9.344 -2.630 0.099
```

Values from the calculation:
Magnetization (μB per cell): 0.00
Fermi-level density of states (states/eV/f.u.): 1.81

=====

Name the most stable of them. (three).

=====

(one)
First-principles (PBE) data for crystalline SrTb2Te4 at its relaxed geometry, as listed in Alexandria via LeMat-Bulk. Values from VASP.

Cell and atoms, written as Quantum ESPRESSO input:
```
&SYSTEM
  ibrav = 0, nat = 14, ntyp = 3
/
ATOMIC_SPECIES
Sr 87.62 Sr.upf
Tb 158.93 Tb.upf
Te 127.60 Te.upf
CELL_PARAMETERS angstrom
4.433 0.000 0.000
-2.216 7.256 0.000
0.000 0.000 15.293
ATOMIC_POSITIONS angstrom
Sr 2.216 1.636 11.470
Sr 0.000 5.620 3.823
Tb 0.000 1.952 6.607
Tb 2.216 5.304 14.254
Tb 0.000 1.952 1.039
Tb 2.216 5.304 8.686
Te 2.216 3.953 1.785
Te 2.216 3.953 5.861
Te 0.000 3.303 13.508
Te 0.000 3.303 9.432
Te 2.216 6.483 11.470
Te 0.000 0.773 3.823
Te 2.216 0.000 0.000
Te 2.216 0.000 7.647
```

Values from the calculation:
Magnetization (μB per cell): 0.00

=====

(two)
First-principles (PBE) data for crystalline SrTb2Te4 at its relaxed geometry, as listed in Alexandria via LeMat-Bulk. Values from VASP.

Cell and atoms, written as Quantum ESPRESSO input:
```
&SYSTEM
  ibrav = 0, nat = 28, ntyp = 3
/
ATOMIC_SPECIES
Sr 87.62 Sr.upf
Tb 158.93 Tb.upf
Te 127.60 Te.upf
CELL_PARAMETERS angstrom
4.437 0.000 0.000
0.000 13.740 0.000
0.000 0.000 16.111
ATOMIC_POSITIONS angstrom
Sr 1.109 10.429 5.306
Sr 3.328 3.312 10.805
Sr 1.109 3.559 2.749
Sr 3.328 10.182 13.362
Tb 3.328 0.778 14.307
Tb 1.109 12.963 1.804
Tb 3.328 7.648 9.859
Tb 1.109 6.093 6.252
Tb 1.109 5.672 14.607
Tb 3.328 8.069 1.504
Tb 1.109 12.542 9.560
Tb 3.328 1.198 6.551
Te 3.328 1.311 1.229
Te 1.109 12.429 14.882
Te 3.328 8.181 6.827
Te 1.109 5.559 9.284
Te 3.328 13.277 11.514
Te 1.109 0.463 4.597
Te 3.328 6.407 12.652
Te 1.109 7.333 3.459
Te 3.328 5.097 0.594
Te 1.109 8.644 15.517
Te 3.328 11.967 7.462
Te 1.109 1.773 8.649
Te 1.109 2.781 13.371
Te 3.328 10.959 2.740
Te 1.109 9.652 10.796
Te 3.328 4.089 5.315
```

Values from the calculation:
Magnetization (μB per cell): 0.00

=====

Name the most stable of them. (two).

=====

(one)
First-principles (PBE) data for crystalline SrTb2Th at its relaxed geometry, as listed in Alexandria via LeMat-Bulk. Values from VASP.

Cell and atoms, written as Quantum ESPRESSO input:
```
&SYSTEM
  ibrav = 0, nat = 4, ntyp = 3
/
ATOMIC_SPECIES
Sr 87.62 Sr.upf
Tb 158.93 Tb.upf
Th 232.04 Th.upf
CELL_PARAMETERS angstrom
-0.777 0.765 3.531
1.864 -3.009 1.062
8.911 5.772 0.711
ATOMIC_POSITIONS angstrom
Sr 4.999 1.764 2.652
Tb 6.988 4.526 0.558
Tb 1.923 1.246 0.154
Th 0.543 -1.122 2.297
```

Values from the calculation:
Magnetization (μB per cell): 0.00
Fermi-level density of states (states/eV/f.u.): 5.25

=====

(two)
First-principles (PBE) data for crystalline SrTb2Th at its relaxed geometry, as listed in Alexandria via LeMat-Bulk. Values from VASP.

Cell and atoms, written as Quantum ESPRESSO input:
```
&SYSTEM
  ibrav = 0, nat = 4, ntyp = 3
/
ATOMIC_SPECIES
Sr 87.62 Sr.upf
Tb 158.93 Tb.upf
Th 232.04 Th.upf
CELL_PARAMETERS angstrom
3.627 0.000 0.000
1.814 3.141 0.000
1.814 1.047 12.685
ATOMIC_POSITIONS angstrom
Sr 0.000 0.000 0.000
Tb 1.814 1.047 9.116
Tb 5.441 3.141 3.569
Th 3.627 2.094 6.342
```

Values from the calculation:
Magnetization (μB per cell): 0.00
Fermi-level density of states (states/eV/f.u.): 4.49

=====

Name the most stable of them. (one).

=====

(one)
First-principles (PBE) data for crystalline SrTb2Tl at its relaxed geometry, as listed in Alexandria via LeMat-Bulk. Values from VASP.

Cell and atoms, written as Quantum ESPRESSO input:
```
&SYSTEM
  ibrav = 0, nat = 4, ntyp = 3
/
ATOMIC_SPECIES
Sr 87.62 Sr.upf
Tb 158.93 Tb.upf
Tl 204.38 Tl.upf
CELL_PARAMETERS angstrom
-4.082 2.415 -2.308
-4.765 -2.261 0.034
-4.261 2.895 4.537
ATOMIC_POSITIONS angstrom
Sr -6.592 1.607 1.286
Tb -4.086 2.516 3.832
Tb -3.162 0.513 0.103
Tl -10.082 2.831 2.711
```

Values from the calculation:
Magnetization (μB per cell): 0.67
Fermi-level density of states (states/eV/f.u.): 5.64

=====

(two)
First-principles (PBE) data for crystalline SrTb2Tl at its relaxed geometry, as listed in Alexandria via LeMat-Bulk. Values from VASP.

Cell and atoms, written as Quantum ESPRESSO input:
```
&SYSTEM
  ibrav = 0, nat = 4, ntyp = 3
/
ATOMIC_SPECIES
Sr 87.62 Sr.upf
Tl 204.38 Tl.upf
Tb 158.93 Tb.upf
CELL_PARAMETERS angstrom
-0.269 3.676 -0.600
-3.645 -0.137 0.798
2.031 1.711 9.567
ATOMIC_POSITIONS angstrom
Sr -0.942 2.625 4.883
Tl -1.957 1.769 0.099
Tb 1.630 1.373 7.679
Tb 0.401 0.338 1.889
```

Values from the calculation:
Magnetization (μB per cell): 0.00
Fermi-level density of states (states/eV/f.u.): 4.67

=====

(three)
First-principles (PBE) data for crystalline SrTb2Tl at its relaxed geometry, as listed in Alexandria via LeMat-Bulk. Values from VASP.

Cell and atoms, written as Quantum ESPRESSO input:
```
&SYSTEM
  ibrav = 0, nat = 4, ntyp = 3
/
ATOMIC_SPECIES
Sr 87.62 Sr.upf
Tl 204.38 Tl.upf
Tb 158.93 Tb.upf
CELL_PARAMETERS angstrom
-0.865 3.156 -1.758
-3.037 0.166 -2.132
-7.772 4.619 8.194
ATOMIC_POSITIONS angstrom
Sr 0.000 0.000 0.000
Tl -5.837 3.971 2.152
Tb -5.837 3.569 5.356
Tb -5.837 4.372 -1.052
```

Values from the calculation:
Magnetization (μB per cell): 0.00
Fermi-level density of states (states/eV/f.u.): 5.76

=====

Name the most stable of them. (two).

=====

(one)
First-principles (PBE) data for crystalline SrTbTm at its relaxed geometry, as listed in Alexandria via LeMat-Bulk. Values from VASP.

Cell and atoms, written as Quantum ESPRESSO input:
```
&SYSTEM
  ibrav = 0, nat = 3, ntyp = 3
/
ATOMIC_SPECIES
Sr 87.62 Sr.upf
Tm 168.93 Tm.upf
Tb 158.93 Tb.upf
CELL_PARAMETERS angstrom
3.699 0.000 0.000
-1.850 3.204 0.000
0.000 0.000 9.203
ATOMIC_POSITIONS angstrom
Sr 0.000 0.000 0.024
Tm 1.850 1.068 3.248
Tb 0.000 2.136 5.932
```

Values from the calculation:
Magnetization (μB per cell): 0.00
Fermi-level density of states (states/eV/f.u.): 5.12

=====

(two)
First-principles (PBE) data for crystalline SrTbTm at its relaxed geometry, as listed in Alexandria via LeMat-Bulk. Values from VASP.

Cell and atoms, written as Quantum ESPRESSO input:
```
&SYSTEM
  ibrav = 0, nat = 3, ntyp = 3
/
ATOMIC_SPECIES
Sr 87.62 Sr.upf
Tm 168.93 Tm.upf
Tb 158.93 Tb.upf
CELL_PARAMETERS angstrom
3.712 0.000 0.000
0.000 3.712 0.000
-1.856 -1.856 7.992
ATOMIC_POSITIONS angstrom
Sr 0.000 0.000 0.011
Tm 1.856 1.856 2.886
Tb 0.000 0.000 5.094
```

Values from the calculation:
Magnetization (μB per cell): 0.00
Fermi-level density of states (states/eV/f.u.): 4.83

=====

Name the most stable of them. (two).

=====

(one)
First-principles (PBE) data for crystalline SrTbY at its relaxed geometry, as listed in Alexandria via LeMat-Bulk. Values from VASP.

Cell and atoms, written as Quantum ESPRESSO input:
```
&SYSTEM
  ibrav = 0, nat = 3, ntyp = 3
/
ATOMIC_SPECIES
Y 88.91 Y.upf
Sr 87.62 Sr.upf
Tb 158.93 Tb.upf
CELL_PARAMETERS angstrom
-3.639 -0.422 0.705
2.464 -0.075 2.801
-0.868 9.188 1.011
ATOMIC_POSITIONS angstrom
Y -1.912 2.941 1.761
Sr 0.000 0.002 0.000
Tb -0.132 5.748 2.756
```

Values from the calculation:
Magnetization (μB per cell): 0.00
Fermi-level density of states (states/eV/f.u.): 5.04

=====

(two)
First-principles (PBE) data for crystalline SrTbY at its relaxed geometry, as listed in Alexandria via LeMat-Bulk. Values from VASP.

Cell and atoms, written as Quantum ESPRESSO input:
```
&SYSTEM
  ibrav = 0, nat = 3, ntyp = 3
/
ATOMIC_SPECIES
Y 88.91 Y.upf
Sr 87.62 Sr.upf
Tb 158.93 Tb.upf
CELL_PARAMETERS angstrom
3.739 0.000 0.000
0.000 3.739 0.000
-1.870 -1.870 8.065
ATOMIC_POSITIONS angstrom
Y 1.870 1.870 2.910
Sr 1.870 1.870 8.059
Tb 0.000 0.000 5.161
```

Values from the calculation:
Magnetization (μB per cell): 0.00
Fermi-level density of states (states/eV/f.u.): 4.76

=====

Name the most stable of them. (two).

=====

(one)
First-principles (PBE) data for crystalline SrTc3 at its relaxed geometry, as listed in Alexandria via LeMat-Bulk. Values from VASP.

Cell and atoms, written as Quantum ESPRESSO input:
```
&SYSTEM
  ibrav = 0, nat = 4, ntyp = 2
/
ATOMIC_SPECIES
Sr 87.62 Sr.upf
Tc 98.00 Tc.upf
CELL_PARAMETERS angstrom
-0.821 -2.793 4.021
0.718 -4.499 1.971
4.900 0.636 3.151
ATOMIC_POSITIONS angstrom
Sr 0.000 0.000 0.000
Tc 2.399 -3.328 4.571
Tc 3.097 -5.318 6.752
Tc 1.701 -1.338 2.391
```

Values from the calculation:
Magnetization (μB per cell): 0.00
Fermi-level density of states (states/eV/f.u.): 3.99

=====

(two)
First-principles (PBE) data for crystalline SrTc3 at its relaxed geometry, as listed in Alexandria via LeMat-Bulk. Values from VASP.

Cell and atoms, written as Quantum ESPRESSO input:
```
&SYSTEM
  ibrav = 0, nat = 4, ntyp = 2
/
ATOMIC_SPECIES
Sr 87.62 Sr.upf
Tc 98.00 Tc.upf
CELL_PARAMETERS angstrom
2.981 0.000 0.000
0.000 4.032 0.000
0.000 0.000 6.793
ATOMIC_POSITIONS angstrom
Sr 0.000 0.000 0.181
Tc 1.490 0.000 3.545
Tc 1.490 2.016 4.933
Tc 0.000 2.016 2.664
```

Values from the calculation:
Magnetization (μB per cell): 0.00
Fermi-level density of states (states/eV/f.u.): 5.74

=====

Name the most stable of them. (one).